# 1
## Hf3NiPt (SCAN)

Data for a PBEsol-optimized structure of Hf3NiPt.

Summary:
- Formation energy from the elements: 0.03 eV/atom
- Total magnetic moment: 0.0 μB/cell

Lattice parameters (Å, degrees): 4.645 4.645 4.645 90.00 90.00 90.00
Sites, in units of the cell vectors:
Hf  0.000  0.000  0.500
Hf  0.000  0.500  0.000
Hf  0.500  0.000  0.000
Ni  0.000  0.000  0.000
Pt  0.500  0.500  0.500

---

# 2
## Zn2CdCu2 (SCAN)

Data for a PBEsol-optimized structure of Zn2CdCu2.

Summary:
- Formation energy from the elements: -0.01 eV/atom
- Total magnetic moment: 0.0 μB/cell

Lattice parameters (Å, degrees): 7.014 7.014 2.844 90.00 90.00 90.00
Sites, in units of the cell vectors:
Zn  0.128  0.372  0.000
Zn  0.372  0.872  0.000
Zn  0.628  0.128  0.000
Zn  0.872  0.628  0.000
Cd  0.000  0.000  0.000
Cd  0.500  0.500  0.000
Cu  0.168  0.668  0.500
Cu  0.332  0.168  0.500
Cu  0.668  0.832  0.500
Cu  0.832  0.332  0.500

---

# 3
## TiTeW3 (SCAN)

Data for a PBEsol-optimized structure of TiTeW3.

Summary:
- Uncorrected formation energy: 12.26 eV/f.u.
- Total magnetic moment: 1.4 μB/cell

Lattice parameters (Å, degrees): 4.791 4.791 4.791 90.00 90.00 90.00
Sites, in units of the cell vectors:
Ti  0.000  0.000  0.000
Te  0.500  0.500  0.500
W  0.000  0.500  0.500
W  0.500  0.000  0.500
W  0.500  0.500  0.000

---

# 4
## CaTlNiB2 (SCAN)

Data for a PBEsol-optimized structure of CaTlNiB2.

Summary:
- Formation energy from the elements: 0.64 eV/atom
- Total magnetic moment: 0.0 μB/cell

Lattice parameters (Å, degrees): 4.049 4.049 4.886 90.00 90.00 90.00
Sites, in units of the cell vectors:
Ca  0.000  0.000  0.000
Tl  0.500  0.500  0.000
Ni  0.500  0.500  0.500
B  0.000  0.500  0.500
B  0.500  0.000  0.500

---

# 5
## BeGeTe3 (SCAN)

Data for a PBEsol-optimized structure of BeGeTe3.

Summary:
- Uncorrected formation energy: 2.35 eV/f.u.
- Total magnetic moment: 0.0 μB/cell

Lattice parameters (Å, degrees): 4.926 4.926 4.926 90.00 90.00 90.00
Sites, in units of the cell vectors:
Be  0.000  0.000  0.000
Ge  0.500  0.500  0.500
Te  0.000  0.000  0.500
Te  0.000  0.500  0.000
Te  0.500  0.000  0.000

---

# 6
## NaTiF4 (SCAN)

Data for a PBEsol-optimized structure of NaTiF4.

Summary:
- Uncorrected formation energy: -20.44 eV/f.u.
- Total magnetic moment: 4.0 μB/cell

Lattice parameters (Å, degrees): 4.973 5.774 11.041 90.00 90.00 90.00
Sites, in units of the cell vectors:
Na  0.000  0.000  0.000
Na  0.000  0.000  0.500
Na  0.500  0.500  0.000
Na  0.500  0.500  0.500
Ti  0.000  0.339  0.250
Ti  0.000  0.661  0.750
Ti  0.500  0.161  0.750
Ti  0.500  0.839  0.250
F  0.167  0.318  0.095
F  0.167  0.682  0.595
F  0.245  0.083  0.307
F  0.245  0.917  0.807
F  0.255  0.417  0.807
F  0.255  0.583  0.307
F  0.333  0.182  0.595
F  0.333  0.818  0.095
F  0.667  0.182  0.905
F  0.667  0.818  0.405
F  0.745  0.417  0.693
F  0.745  0.583  0.193
F  0.755  0.083  0.193
F  0.755  0.917  0.693
F  0.833  0.318  0.405
F  0.833  0.682  0.905

---

# 7
## CsAgBr2 (SCAN)

Data for a PBEsol-optimized structure of CsAgBr2.

Summary:
- Uncorrected formation energy: -4.34 eV/f.u.
- Total magnetic moment: 0.0 μB/cell

Lattice parameters (Å, degrees): 5.670 5.670 23.249 90.00 90.00 120.00
Sites, in units of the cell vectors:
Cs  0.000  0.000  0.000
Cs  0.333  0.667  0.667
Cs  0.667  0.333  0.333
Ag  0.000  0.000  0.500
Ag  0.333  0.667  0.167
Ag  0.667  0.333  0.833
Br  0.000  0.000  0.396
Br  0.000  0.000  0.604
Br  0.333  0.667  0.063
Br  0.333  0.667  0.271
Br  0.667  0.333  0.729
Br  0.667  0.333  0.937

---

# 8
## Nb4Ni2C (SCAN)

Data for a PBEsol-optimized structure of Nb4Ni2C.

Summary:
- Formation energy from the elements: -0.37 eV/atom
- Total magnetic moment: 0.0 μB/cell

Lattice parameters (Å, degrees): 8.209 8.209 8.209 60.00 60.00 60.00
Sites, in units of the cell vectors:
Nb  0.000  0.000  0.000
Nb  0.000  0.000  0.500
Nb  0.000  0.500  0.000
Nb  0.191  0.191  0.559
Nb  0.191  0.559  0.191
Nb  0.191  0.559  0.559
Nb  0.441  0.441  0.809
Nb  0.441  0.809  0.441
Nb  0.441  0.809  0.809
Nb  0.500  0.000  0.000
Nb  0.559  0.191  0.191
Nb  0.559  0.191  0.559
Nb  0.559  0.559  0.191
Nb  0.809  0.441  0.441
Nb  0.809  0.441  0.809
Nb  0.809  0.809  0.441
Ni  0.114  0.796  0.796
Ni  0.204  0.204  0.204
Ni  0.204  0.204  0.886
Ni  0.204  0.886  0.204
Ni  0.796  0.114  0.796
Ni  0.796  0.796  0.114
Ni  0.796  0.796  0.796
Ni  0.886  0.204  0.204
C  0.000  0.500  0.500
C  0.500  0.000  0.500
C  0.500  0.500  0.000
C  0.500  0.500  0.500

---

# 9
## Ca2Tl (SCAN)

Data for a PBEsol-optimized structure of Ca2Tl.

Summary:
- Formation energy from the elements: -0.45 eV/atom
- Total magnetic moment: 0.0 μB/cell

Lattice parameters (Å, degrees): 7.639 7.639 6.743 90.00 90.00 90.00
Sites, in units of the cell vectors:
Ca  0.177  0.323  0.000
Ca  0.177  0.677  0.500
Ca  0.323  0.177  0.500
Ca  0.323  0.823  0.000
Ca  0.677  0.177  0.000
Ca  0.677  0.823  0.500
Ca  0.823  0.323  0.500
Ca  0.823  0.677  0.000
Tl  0.000  0.000  0.250
Tl  0.000  0.000  0.750
Tl  0.500  0.500  0.250
Tl  0.500  0.500  0.750

---

# 10
## TmGa2Ni (SCAN)

Data for a PBEsol-optimized structure of TmGa2Ni.

Summary:
- Formation energy from the elements: -0.75 eV/atom
- Total magnetic moment: 0.0 μB/cell

Lattice parameters (Å, degrees): 4.060 9.750 6.522 90.00 90.00 90.00
Sites, in units of the cell vectors:
Tm  0.000  0.074  0.250
Tm  0.000  0.926  0.750
Tm  0.500  0.426  0.750
Tm  0.500  0.574  0.250
Ga  0.000  0.359  0.053
Ga  0.000  0.359  0.447
Ga  0.000  0.641  0.553
Ga  0.000  0.641  0.947
Ga  0.500  0.141  0.553
Ga  0.500  0.141  0.947
Ga  0.500  0.859  0.053
Ga  0.500  0.859  0.447
Ni  0.000  0.209  0.750
Ni  0.000  0.791  0.250
Ni  0.500  0.291  0.250
Ni  0.500  0.709  0.750

---

# 11
## Cr2TcTe (SCAN)

Data for a PBEsol-optimized structure of Cr2TcTe.

Summary:
- Uncorrected formation energy: 1.69 eV/f.u.
- Total magnetic moment: 0.0 μB/cell

Lattice parameters (Å, degrees): 3.049 3.049 6.104 90.00 90.00 90.00
Sites, in units of the cell vectors:
Cr  0.000  0.000  0.235
Cr  0.000  0.000  0.765
Tc  0.500  0.500  0.000
Te  0.500  0.500  0.500

---

# 12
## FeMo2PbCl (SCAN)

Data for a PBEsol-optimized structure of FeMo2PbCl.

Summary:
- Uncorrected formation energy: 10.59 eV/f.u.
- Total magnetic moment: 11.2 μB/cell

Lattice parameters (Å, degrees): 5.299 5.299 5.283 90.00 90.00 90.00
Sites, in units of the cell vectors:
Fe  0.000  0.000  0.000
Mo  0.000  0.500  0.500
Mo  0.500  0.000  0.500
Pb  0.500  0.500  0.500
Cl  0.500  0.500  0.000